The following is a DFT calculation (meta-GGA SCAN) of a crystal of LaZrPb2 relaxed with PBEsol.

Output
The value obtained for the total energy is -56.76 eV/atom. Its size of the total moment is 0.0 μB/cell. The density of states at the Fermi level comes out at 2.35 states/eV/f.u. As for the formation energy: -0.42 eV per atom.

Cell and atoms, written as CIF:
```
data_LaZrPb2
_cell_length_a 6.8067
_cell_length_b 8.9814
_cell_length_c 3.4417
_cell_angle_alpha 90.00
_cell_angle_beta 90.00
_cell_angle_gamma 90.00
_symmetry_space_group_name_H-M 'C m m m'
_symmetry_Int_Tables_number 65
_symmetry_space_group_name_Hall '-C 2 2'
loop_
_atom_site_label
_atom_site_fract_x
_atom_site_fract_y
_atom_site_fract_z
La1 0.0000 0.0000 0.0000
Zr1 0.0000 0.5000 0.0000
Pb1 0.2500 0.2500 0.5000
```

The following is a DFT calculation (meta-GGA SCAN) of a crystal of MgTl2ClO relaxed with PBEsol.

Output
The value obtained for the total energy is -33.64 eV/atom. Its size of the total moment is 0.0 μB/cell. The density of states at the Fermi level comes out at 2.08 states/eV/f.u.

Cell and atoms, written as CIF:
```
data_MgTl2ClO
_cell_length_a 5.8004
_cell_length_b 5.8004
_cell_length_c 3.6635
_cell_angle_alpha 90.00
_cell_angle_beta 90.00
_cell_angle_gamma 90.00
_symmetry_space_group_name_H-M 'P 4/m m m'
_symmetry_Int_Tables_number 123
_symmetry_space_group_name_Hall '-P 4 2'
loop_
_atom_site_label
_atom_site_fract_x
_atom_site_fract_y
_atom_site_fract_z
Mg1 0.0000 0.0000 0.0000
Tl1 0.0000 0.5000 0.0000
Cl1 0.5000 0.5000 0.5000
O1 0.0000 0.0000 0.5000
```

Q: What is the size of the total moment in the first record?
A: 0.0 μB/cell

Q: size of the total moment of number 2 (MgTl2ClO)?
A: 0.0 μB/cell